[1]
Density functional theory data (PBE) for crystalline CaInSe at its relaxed geometry.

a = 9.019 Å, b = 9.019 Å, c = 9.019 Å
α = 32.15°, β = 32.15°, γ = 32.15°
Element x y z (fractional)
Ca1 0.102 0.102 0.102
Ca2 0.898 0.898 0.898
In1 0.329 0.329 0.329
In2 0.671 0.671 0.671
Se1 0.218 0.218 0.218
Se2 0.782 0.782 0.782

Summary:
- M_tot (μB per formula unit) = 0.0
- crystal system = trigonal
- ΔE_f (raw) (eV/f.u.) = -3.2

[2]
Density functional theory data (PBE) for crystalline CaInSe at its relaxed geometry.

a = 5.080 Å, b = 5.080 Å, c = 5.080 Å
α = 60.00°, β = 60.00°, γ = 60.00°
Element x y z (fractional)
Ca1 0.000 0.000 0.000
In1 0.500 0.500 0.500
Se1 0.250 0.250 0.250

Summary:
- M_tot (μB per formula unit) = 0.0
- crystal system = cubic
- ΔE_f (raw) (eV/f.u.) = -2.1

[3]
Density functional theory data (PBE) for crystalline Ca2InSe at its relaxed geometry.

a = 3.940 Å, b = 3.940 Å, c = 8.722 Å
α = 90.00°, β = 90.00°, γ = 90.00°
Element x y z (fractional)
Ca1 0.000 0.000 0.000
Ca2 0.500 0.500 0.411
In1 0.000 0.000 0.618
Se1 0.500 0.500 0.085

Summary:
- M_tot (μB per formula unit) = 0.0
- crystal system = tetragonal
- ΔE_f (raw) (eV/f.u.) = -3.6

[4]
Density functional theory data (PBE) for crystalline CaInSe at its relaxed geometry.

a = 5.106 Å, b = 5.106 Å, c = 5.106 Å
α = 60.00°, β = 60.00°, γ = 60.00°
Element x y z (fractional)
Ca1 0.000 0.000 0.000
In1 0.750 0.750 0.750
Se1 0.250 0.250 0.250

Summary:
- M_tot (μB per formula unit) = 0.0
- crystal system = cubic
- ΔE_f (raw) (eV/f.u.) = -1.6